VASP calculation (PBE-GGA) on a relaxed Ac2MgCu2Pt5 crystal.

Structure (POSCAR):
```
Ac2MgCu2Pt5
1.0
9.823 0.000 0.000
0.000 9.823 0.000
0.000 0.000 3.985
Ac Mg Cu Pt
4 2 4 10
Cartesian
1.763 3.149 0.000
3.149 8.060 0.000
6.675 1.763 0.000
8.060 6.675 0.000
0.000 0.000 0.000
4.912 4.912 0.000
1.154 6.066 0.000
3.757 1.154 0.000
6.066 8.669 0.000
8.669 3.757 0.000
0.000 4.912 1.992
0.623 7.771 1.992
2.053 0.623 1.992
2.859 5.535 1.992
4.289 2.859 1.992
4.912 0.000 1.992
5.535 6.964 1.992
6.964 4.289 1.992
7.771 9.200 1.992
9.200 2.053 1.992
```

DFT formation energy ... -737 meV per atom
SG ... P4/mbm

VASP calculation (PBE-GGA) on a relaxed AcMgCuRu crystal.

Structure (POSCAR):
```
AcMgCuRu
1.0
6.973 0.000 0.000
0.000 6.973 0.000
0.000 0.000 6.973
Ac Mg Cu Ru
4 4 4 4
Cartesian
0.000 0.000 0.000
0.000 3.486 3.486
3.486 0.000 3.486
3.486 3.486 0.000
0.000 0.000 3.486
0.000 3.486 0.000
3.486 0.000 0.000
3.486 3.486 3.486
1.743 1.743 1.743
1.743 5.229 5.229
5.229 1.743 5.229
5.229 5.229 1.743
1.743 1.743 5.229
1.743 5.229 1.743
5.229 1.743 1.743
5.229 5.229 5.229
```

DFT formation energy ... 100 meV per atom
SG ... F-43m

VASP calculation (PBE-GGA) on a relaxed AcMgCu2S4 crystal.

Structure (POSCAR):
```
AcMgCu2S4
1.0
6.530 0.000 0.000
0.000 6.530 0.000
0.000 0.000 7.793
Ac Mg Cu S
2 2 4 8
Cartesian
0.000 0.000 0.000
3.265 3.265 3.896
0.000 0.000 3.896
3.265 3.265 0.000
0.000 3.265 1.948
0.000 3.265 5.845
3.265 0.000 1.948
3.265 0.000 5.845
1.383 1.383 5.387
1.383 5.147 2.406
1.882 1.882 1.491
1.882 4.648 6.302
4.648 1.882 6.302
4.648 4.648 1.491
5.147 1.383 2.406
5.147 5.147 5.387
```

SG ... I-42m
Final energy ... -4.87 eV per atom

VASP calculation (PBE-GGA) on a relaxed Ac2MgCu2S6 crystal.

Structure (POSCAR):
```
Ac2MgCu2S6
1.0
3.400 1.963 6.526
-3.400 1.963 6.526
0.000 -3.925 6.526
Ac Mg Cu S
2 1 2 6
Cartesian
0.000 0.000 4.237
0.000 0.000 15.340
0.000 0.000 0.000
0.000 0.000 8.349
0.000 0.000 11.228
-1.861 -1.074 11.255
0.000 -2.149 8.322
-1.861 1.074 8.322
1.861 -1.074 11.255
0.000 2.149 11.255
1.861 1.074 8.322
```

SG ... R-3m
Final energy ... -4.95 eV per atom

VASP calculation (PBE-GGA) on a relaxed AcMgCuSb crystal.

Structure (POSCAR):
```
AcMgCuSb
1.0
7.531 0.000 0.000
0.000 7.531 0.000
0.000 0.000 7.531
Ac Mg Cu Sb
4 4 4 4
Cartesian
0.000 0.000 0.000
0.000 3.766 3.766
3.766 0.000 3.766
3.766 3.766 0.000
0.000 0.000 3.766
0.000 3.766 0.000
3.766 0.000 0.000
3.766 3.766 3.766
1.883 1.883 5.648
1.883 5.648 1.883
5.648 1.883 1.883
5.648 5.648 5.648
1.883 1.883 1.883
1.883 5.648 5.648
5.648 1.883 5.648
5.648 5.648 1.883
```

SG ... F-43m
Final energy ... -3.74 eV per atom

VASP calculation (PBE-GGA) on a relaxed AcMgCuSe3 crystal.

Structure (POSCAR):
```
AcMgCuSe3
1.0
8.238 0.000 0.000
0.000 4.116 0.000
-2.070 0.000 8.647
Ac Mg Cu Se
2 2 2 6
Cartesian
1.041 1.029 2.107
5.127 3.087 6.541
1.042 3.087 7.348
5.126 1.029 1.299
-0.594 1.029 4.999
6.762 3.087 3.648
-0.909 1.029 7.472
0.853 3.087 4.568
3.270 3.087 1.379
2.898 1.029 7.269
5.315 1.029 4.079
7.076 3.087 1.176
```

SG ... P2_1/m
Final energy ... -4.67 eV per atom